# 1
First-principles (PBE) data for a geometry-optimized LiMoAs structure, as listed in Alexandria via LeMat-Bulk.

## Properties
distance to the lowest polymorph of the same formula = 502 meV/atom
total magnetization = 0.0 μB per formula unit
symmetry = P3m1, No. 156
calculated formation energy = 0.092 eV/atom

Unit cell a=3.0573 b=3.0573 c=6.3827 alpha=90.00 beta=90.00 gamma=120.00
With the nearest neighbours (Å) after each atom.
Positions (direct):
Mo (0.3333, 0.6667, 0.6995)  3 As 2.51
As (0.0000, 0.0000, 0.9792)  3 Mo 2.51, 3 Li 2.81
Li (0.6667, 0.3333, 0.3213)  3 As 2.81, 3 Mo 2.99, 6 Li 3.06

=====

# 2
First-principles (PBE) data for a geometry-optimized TbPm3Pt3 structure, as listed in Alexandria via LeMat-Bulk.

## Properties
total magnetization = 0.0 μB per formula unit
symmetry = C2/m, No. 12
calculated formation energy = -0.941 eV/atom

Unit cell a=7.1108 b=7.1108 c=7.2481 alpha=90.70 beta=90.70 gamma=97.39
With the nearest neighbours (Å) after each atom.
Positions (direct):
Pm (0.3352, 0.3352, 0.6222)  3 Pt 2.93-3.05
Pm (0.7503, 0.2497, 0.0000)  6 Pt 3.06-3.16
Pm (0.2497, 0.7503, 0.0000)  6 Pt 3.06-3.16
Pm (0.1762, 0.8238, 0.5000)  6 Pt 2.89-2.98
Pm (0.6648, 0.6648, 0.3778)  3 Pt 2.93-3.05
Pm (0.8238, 0.1762, 0.5000)  6 Pt 2.89-2.98
Pt (0.9395, 0.9395, 0.1911)  2 Tb 2.86-3.01, 5 Pm 2.93-3.06, 1 Pt 3.01
Pt (0.0605, 0.0605, 0.8089)  2 Tb 2.86-3.01, 5 Pm 2.93-3.06, 1 Pt 3.01
Pt (0.5063, 0.9751, 0.7162)  1 Tb 2.77, 4 Pm 2.89-3.09
Pt (0.4937, 0.0249, 0.2838)  1 Tb 2.77, 4 Pm 2.89-3.09
Pt (0.0249, 0.4937, 0.2838)  1 Tb 2.77, 4 Pm 2.89-3.09
Pt (0.9751, 0.5063, 0.7162)  1 Tb 2.77, 4 Pm 2.89-3.09
Tb (0.2538, 0.2538, 0.1192)  4 Pt 2.77-3.01
Tb (0.7462, 0.7462, 0.8808)  4 Pt 2.77-3.01

=====

# 3
First-principles (PBE) data for a geometry-optimized HoNbCoTc structure, as listed in Alexandria via LeMat-Bulk.

## Properties
total magnetization = 0.4 μB per formula unit
symmetry = F-43m, No. 216
calculated formation energy = -0.073 eV/atom

Unit cell a=4.5820 b=4.5820 c=4.5820 alpha=60.00 beta=60.00 gamma=60.00
With the nearest neighbours (Å) after each atom.
Positions (direct):
Tc (0.5000, 0.5000, 0.5000)  4 Nb 2.81, 4 Ho 2.81
Nb (0.7500, 0.7500, 0.7500)  4 Tc 2.81, 4 Co 2.81
Ho (0.2500, 0.2500, 0.2500)  4 Co 2.81, 4 Tc 2.81
Co (0.0000, 0.0000, 0.0000)  4 Nb 2.81, 4 Ho 2.81

=====

# 4
First-principles (PBE) data for a geometry-optimized Ca4YCd5 structure, as listed in Alexandria via LeMat-Bulk.

## Properties
total magnetization = 0.0 μB per formula unit
symmetry = P4/mmm, No. 123
calculated formation energy = -0.358 eV/atom

Unit cell a=3.8118 b=3.8118 c=19.1482 alpha=90.00 beta=90.00 gamma=90.00
With the nearest neighbours (Å) after each atom.
Positions (direct):
Ca (0.0000, 0.0000, 0.6013)  8 Cd 3.32
Ca (0.0000, 0.0000, 0.8031)  8 Cd 3.32-3.34
Ca (0.0000, 0.0000, 0.3987)  8 Cd 3.32
Ca (0.0000, 0.0000, 0.1969)  8 Cd 3.32-3.34
Cd (0.5000, 0.5000, 0.2979)  8 Ca 3.32
Cd (0.5000, 0.5000, 0.7021)  8 Ca 3.32
Cd (0.5000, 0.5000, 0.5000)  8 Ca 3.32
Cd (0.5000, 0.5000, 0.0943)  4 Y 3.24, 4 Ca 3.34, 1 Cd 3.61
Cd (0.5000, 0.5000, 0.9057)  4 Y 3.24, 4 Ca 3.34, 1 Cd 3.61
Y (0.0000, 0.0000, 0.0000)  8 Cd 3.24

=====

# 5
First-principles (PBE) data for a geometry-optimized Ca structure, as listed in Alexandria via LeMat-Bulk.

## Properties
distance to the lowest polymorph of the same formula = 3 meV/atom
total magnetization = 0.0 μB per formula unit
symmetry = C2/c, No. 15
calculated formation energy = 0.003 eV/atom

Unit cell a=3.8827 b=3.8827 c=6.4642 alpha=90.03 beta=90.03 gamma=120.16
With the nearest neighbours (Å) after each atom.
Positions (direct):
Ca (0.8350, 0.1650, 0.7500)  12 Ca 3.87-3.94
Ca (0.1650, 0.8350, 0.2500)  12 Ca 3.87-3.94

=====

# 6
First-principles (PBE) data for a geometry-optimized Pa3FeSi2 structure, as listed in Alexandria via LeMat-Bulk.

## Properties
formation energy (no corrections) = -0.50 eV/atom
total magnetization = 0.0 μB per formula unit
symmetry = Pnma, No. 62

Unit cell a=4.0140 b=10.1460 c=11.6568 alpha=90.00 beta=90.00 gamma=90.00
With the nearest neighbours (Å) after each atom.
Positions (direct):
Pa (0.2500, 0.0642, 0.8756)  5 Si 2.93-2.96, 3 Fe 2.96-3.02, 2 Pa 3.12
Pa (0.7500, 0.2666, 0.7699)  2 Fe 2.77, 5 Si 2.96-2.99
Pa (0.2500, 0.4358, 0.3756)  5 Si 2.93-2.96, 3 Fe 2.96-3.02, 2 Pa 3.12
Pa (0.2500, 0.7334, 0.2301)  2 Fe 2.77, 5 Si 2.96-2.99
Pa (0.2500, 0.7666, 0.7301)  2 Fe 2.77, 5 Si 2.96-2.99
Pa (0.2500, 0.4023, 0.0453)  1 Fe 2.71, 5 Si 2.90-3.00, 2 Pa 3.01
Pa (0.7500, 0.2334, 0.2699)  2 Fe 2.77, 5 Si 2.96-2.99
Pa (0.7500, 0.5642, 0.6244)  5 Si 2.93-2.96, 3 Fe 2.96-3.02, 2 Pa 3.12
Pa (0.2500, 0.0977, 0.5453)  1 Fe 2.71, 5 Si 2.90-3.00, 2 Pa 3.01
Pa (0.7500, 0.5977, 0.9547)  1 Fe 2.71, 5 Si 2.90-3.00, 2 Pa 3.01
Pa (0.7500, 0.9358, 0.1244)  5 Si 2.93-2.96, 3 Fe 2.96-3.02, 2 Pa 3.12
Pa (0.7500, 0.9023, 0.4547)  1 Fe 2.71, 5 Si 2.90-3.00, 2 Pa 3.01
Si (0.2500, 0.0183, 0.2972)  1 Fe 2.43
Si (0.7500, 0.1981, 0.0170)  2 Fe 2.41
Si (0.7500, 0.3019, 0.5170)  2 Fe 2.41
Si (0.2500, 0.4817, 0.7972)  1 Fe 2.43
Si (0.7500, 0.5183, 0.2028)  1 Fe 2.43
Si (0.2500, 0.8019, 0.9830)  2 Fe 2.41
Si (0.2500, 0.6981, 0.4830)  2 Fe 2.41
Si (0.7500, 0.9817, 0.7028)  1 Fe 2.43
Fe (0.7500, 0.6506, 0.3769)  3 Si 2.41-2.43
Fe (0.2500, 0.3494, 0.6231)  3 Si 2.41-2.43
Fe (0.7500, 0.8494, 0.8769)  3 Si 2.41-2.43
Fe (0.2500, 0.1506, 0.1231)  3 Si 2.41-2.43